8
Lattice="3.195 -3.627 0.000 3.195 3.627 0.000 0.000 0.000 4.492" Properties=species:S:1:pos:R:3 comment="P3C PBE-GGA optimized geometry" formation_energy_ev_per_atom=0.6099 sg="No. 63" pbc="T T T"
P 1.462 0.289 3.369
P 3.195 1.816 3.369
P 1.462 -0.289 1.123
P 4.928 0.289 3.369
P 3.195 -1.816 1.123
P 4.928 -0.289 1.123
C 3.195 2.251 1.123
C 3.195 -2.251 3.369

8
Lattice="6.930 0.000 0.000 0.000 4.011 0.000 -2.324 0.000 6.540" Properties=species:S:1:pos:R:3 comment="Tm2ThNpP4 PBE-GGA optimized geometry" formation_energy_ev_per_atom=-1.3982 sg="No. 10" pbc="T T T"
Tm 0.000 0.000 0.000
Tm -1.162 2.005 3.270
Th 2.303 0.000 3.270
Np 3.465 2.005 0.000
P 1.112 2.005 1.583
P -0.047 0.000 4.935
P 4.653 0.000 1.605
P 3.494 2.005 4.957

18
Lattice="2.660 -7.261 0.000 2.660 7.261 0.000 0.000 0.000 6.939" Properties=species:S:1:pos:R:3 comment="Dy2Ni3P4 PBE-GGA optimized geometry" formation_energy_ev_per_atom=-0.8731 sg="No. 64" pbc="T T T"
Dy 2.660 5.609 6.333
Dy 2.660 1.652 2.863
Dy 2.660 -1.652 4.075
Dy 2.660 -5.609 0.606
Ni 0.000 0.000 3.469
Ni 1.330 3.073 5.204
Ni 1.330 -3.073 1.735
Ni 2.660 0.000 0.000
Ni 3.989 3.073 5.204
Ni 3.989 -3.073 1.735
P 2.660 4.408 3.772
P 1.330 0.735 5.204
P 1.330 -0.735 1.735
P 2.660 2.853 0.302
P 2.660 -2.853 6.636
P 3.989 0.735 5.204
P 3.989 -0.735 1.735
P 2.660 -4.408 3.167

12
Lattice="3.139 -5.438 0.000 3.139 5.438 0.000 -2.095 0.000 11.805" Properties=species:S:1:pos:R:3 comment="Pr3Sm6Ho2Tm PBE-GGA optimized geometry" formation_energy_ev_per_atom=0.0194 sg="No. 12" pbc="T T T"
Pr 0.000 0.000 0.000
Pr 3.139 1.812 0.000
Pr 3.139 -1.812 0.000
Sm 1.045 1.811 3.019
Sm 0.002 0.000 8.787
Sm 1.045 -1.811 3.019
Sm 3.139 1.811 8.786
Sm 4.181 0.000 3.018
Sm 3.139 -1.811 8.786
Ho 2.092 3.626 5.903
Ho 2.092 -3.626 5.903
Tm 2.092 0.000 5.903

4
Lattice="3.056 0.000 0.000 0.000 3.056 0.000 0.000 0.000 9.370" Properties=species:S:1:pos:R:3 comment="FeSiTe2 PBE-GGA optimized geometry" total_energy_ev_per_atom=-4.790 sg="No. 99" pbc="T T T"
Fe 0.000 0.000 0.000
Si 1.528 1.528 1.289
Te 0.000 0.000 4.108
Te 1.528 1.528 7.748

4
Lattice="4.594 -1.455 0.000 4.594 1.455 0.000 -0.478 0.000 4.491" Properties=species:S:1:pos:R:3 comment="AsRu2W PBE-GGA optimized geometry" formation_energy_ev_per_atom=0.1427 sg="No. 8" pbc="T T T"
As 0.000 0.000 0.000
Ru 1.858 0.000 3.633
Ru 4.435 0.000 2.304
W 6.919 0.000 1.441

These records have size of the total moment values of 0.00, 3.90, 0.00, 0.00, 1.40, 0.00 μB per formula unit, in the order they appear.